# 1
Entry from the Alexandria database: Ho6InAs2S3 after structural relaxation (GGA-PBE).

a = 9.056 Å, b = 9.056 Å, c = 8.180 Å
α = 102.87°, β = 102.87°, γ = 25.48°
Fractional coordinates of all 12 atoms:
Ho 0.001 0.001 0.231
Ho 0.328 0.328 0.414
Ho 0.332 0.332 0.918
Ho 0.668 0.668 0.082
Ho 0.672 0.672 0.586
Ho 0.999 0.999 0.769
In 0.500 0.500 0.500
As 0.167 0.167 0.834
As 0.833 0.833 0.166
S 0.169 0.169 0.331
S 0.500 0.500 0.000
S 0.831 0.831 0.669

The formation energy from raw total energies comes out at -146.7 kJ per mole of atoms. Its total energy is -5.845 eV/atom. The theoretical density comes out at 7.982 Mg/m³. As for the spin magnetization: 0.00 μB/atom. For the density of states at the Fermi level, the calculation gives 0.33 states/eV/atom.

=====

# 2
Entry from the Alexandria database: Sr3PbN after structural relaxation (GGA-PBE).

a = 8.651 Å, b = 8.651 Å, c = 8.651 Å
α = 48.44°, β = 48.44°, γ = 48.44°
Fractional coordinates of all 10 atoms:
Sr 0.032 0.439 0.829
Sr 0.171 0.968 0.561
Sr 0.439 0.829 0.032
Sr 0.561 0.171 0.968
Sr 0.829 0.032 0.439
Sr 0.968 0.561 0.171
Pb 0.353 0.353 0.353
Pb 0.647 0.647 0.647
N 0.164 0.164 0.164
N 0.836 0.836 0.836

The formation energy from raw total energies comes out at -45.8 kJ per mole of atoms. Its total energy is -3.890 eV/atom. The theoretical density comes out at 4.836 Mg/m³. As for the spin magnetization: 0.00 μB/atom. For the density of states at the Fermi level, the calculation gives 0.13 states/eV/atom.

=====

# 3
Entry from the Alexandria database: Ac2NbCu after structural relaxation (GGA-PBE).

a = 11.066 Å, b = 11.066 Å, c = 11.066 Å
α = 18.29°, β = 18.29°, γ = 18.29°
Fractional coordinates of all 4 atoms:
Ac 0.094 0.094 0.094
Ac 0.906 0.906 0.906
Nb 0.000 0.000 0.000
Cu 0.500 0.500 0.500

Its total energy is -4.713 eV/atom. The theoretical density comes out at 8.699 Mg/m³. As for the spin magnetization: 0.11 μB/atom. For the density of states at the Fermi level, the calculation gives 1.20 states/eV/atom.

=====

# 4
Entry from the Alexandria database: GaHRh3 after structural relaxation (GGA-PBE).

a = 4.958 Å, b = 4.958 Å, c = 4.958 Å
α = 89.68°, β = 89.68°, γ = 89.68°
Fractional coordinates of all 10 atoms:
Ga 0.000 0.000 0.000
Ga 0.500 0.500 0.500
H 0.250 0.250 0.250
H 0.750 0.750 0.750
Rh 0.037 0.750 0.463
Rh 0.250 0.537 0.963
Rh 0.463 0.037 0.750
Rh 0.537 0.963 0.250
Rh 0.750 0.463 0.037
Rh 0.963 0.250 0.537

Its total energy is -5.676 eV/atom. The theoretical density comes out at 10.341 Mg/m³. As for the spin magnetization: 0.00 μB/atom. For the density of states at the Fermi level, the calculation gives 1.25 states/eV/atom.

=====

# 5
Entry from the Alexandria database: MgIn2BrO after structural relaxation (GGA-PBE).

a = 4.571 Å, b = 4.571 Å, c = 6.848 Å
α = 90.00°, β = 90.00°, γ = 90.00°
Fractional coordinates of all 5 atoms:
Mg 0.000 0.000 0.000
In 0.000 0.500 0.500
In 0.500 0.000 0.500
Br 0.500 0.500 0.000
O 0.500 0.500 0.500

The formation energy from raw total energies comes out at -23.5 kJ per mole of atoms. Its total energy is -2.984 eV/atom. The theoretical density comes out at 4.059 Mg/m³. As for the spin magnetization: 0.00 μB/atom. For the density of states at the Fermi level, the calculation gives 0.56 states/eV/atom.

=====

# 6
Entry from the Alexandria database: Ti6TcRh2 after structural relaxation (GGA-PBE).

a = 7.306 Å, b = 7.306 Å, c = 4.344 Å
α = 107.21°, β = 107.21°, γ = 48.76°
Fractional coordinates of all 9 atoms:
Ti 0.083 0.586 0.335
Ti 0.248 0.752 0.000
Ti 0.414 0.917 0.665
Ti 0.586 0.083 0.335
Ti 0.752 0.248 0.000
Ti 0.917 0.414 0.665
Tc 0.000 0.000 0.500
Rh 0.332 0.332 0.832
Rh 0.668 0.668 0.168

Its total energy is -8.195 eV/atom. The theoretical density comes out at 5.952 Mg/m³. As for the spin magnetization: 0.00 μB/atom. For the density of states at the Fermi level, the calculation gives 1.51 states/eV/atom.

=====

# 7
Entry from the Alexandria database: CaHgWI2 after structural relaxation (GGA-PBE).

a = 5.968 Å, b = 5.968 Å, c = 6.360 Å
α = 90.00°, β = 90.00°, γ = 90.00°
Fractional coordinates of all 5 atoms:
Ca 0.000 0.000 0.000
Hg 0.000 0.000 0.500
W 0.500 0.500 0.500
I 0.000 0.500 0.000
I 0.500 0.000 0.000

The formation energy from raw total energies comes out at 76.7 kJ per mole of atoms. Its total energy is -2.876 eV/atom. The theoretical density comes out at 4.973 Mg/m³. As for the spin magnetization: 1.20 μB/atom. For the density of states at the Fermi level, the calculation gives 0.11 states/eV/atom.

=====

# 8
Entry from the Alexandria database: ScNb2Ru3 after structural relaxation (GGA-PBE).

a = 3.173 Å, b = 3.173 Å, c = 9.670 Å
α = 90.00°, β = 90.00°, γ = 90.00°
Fractional coordinates of all 6 atoms:
Sc 0.000 0.000 0.000
Nb 0.000 0.000 0.333
Nb 0.000 0.000 0.667
Ru 0.500 0.500 0.174
Ru 0.500 0.500 0.500
Ru 0.500 0.500 0.826

Its total energy is -9.468 eV/atom. The theoretical density comes out at 9.109 Mg/m³. As for the spin magnetization: 0.00 μB/atom. For the density of states at the Fermi level, the calculation gives 0.66 states/eV/atom.

=====

# 9
Entry from the Alexandria database: LaY2N after structural relaxation (GGA-PBE).

a = 7.169 Å, b = 7.169 Å, c = 7.169 Å
α = 119.93°, β = 119.93°, γ = 90.12°
Fractional coordinates of all 8 atoms:
La 0.000 0.000 0.000
La 0.750 0.250 0.500
Y 0.342 0.625 0.217
Y 0.375 0.592 0.717
Y 0.408 0.125 0.783
Y 0.875 0.658 0.283
N 0.250 0.750 0.500
N 0.500 0.500 0.000

The formation energy from raw total energies comes out at -47.4 kJ per mole of atoms. Its total energy is -7.036 eV/atom. The theoretical density comes out at 4.211 Mg/m³. As for the spin magnetization: 0.26 μB/atom. For the density of states at the Fermi level, the calculation gives 1.76 states/eV/atom.

=====

# 10
Entry from the Alexandria database: Cs3SmAl2O6 after structural relaxation (GGA-PBE).

a = 6.248 Å, b = 6.248 Å, c = 7.774 Å
α = 90.00°, β = 90.00°, γ = 120.00°
Fractional coordinates of all 12 atoms:
Cs 0.000 0.000 0.000
Cs 0.333 0.667 0.759
Cs 0.667 0.333 0.241
Sm 0.000 0.000 0.500
Al 0.333 0.667 0.317
Al 0.667 0.333 0.683
O 0.175 0.349 0.315
O 0.175 0.825 0.315
O 0.349 0.175 0.685
O 0.651 0.825 0.315
O 0.825 0.175 0.685
O 0.825 0.651 0.685

The formation energy from raw total energies comes out at -226.3 kJ per mole of atoms. Its total energy is -6.055 eV/atom. The theoretical density comes out at 4.417 Mg/m³. As for the spin magnetization: 0.00 μB/atom. For the density of states at the Fermi level, the calculation gives 0.00 states/eV/atom.

=====

# 11
Entry from the Alexandria database: Rb2PrAgF6 after structural relaxation (GGA-PBE).

a = 6.617 Å, b = 6.789 Å, c = 11.257 Å
α = 90.00°, β = 125.36°, γ = 90.00°
Fractional coordinates of all 20 atoms:
Rb 0.238 0.045 0.249
Rb 0.238 0.455 0.749
Rb 0.762 0.545 0.251
Rb 0.762 0.955 0.751
Pr 0.500 0.000 0.000
Pr 0.500 0.500 0.500
Ag 0.000 0.000 0.500
Ag 0.000 0.500 0.000
F 0.176 0.192 0.958
F 0.176 0.308 0.458
F 0.261 0.722 0.950
F 0.261 0.778 0.450
F 0.345 0.035 0.757
F 0.345 0.465 0.257
F 0.655 0.535 0.743
F 0.655 0.965 0.243
F 0.739 0.222 0.550
F 0.739 0.278 0.050
F 0.824 0.692 0.542
F 0.824 0.808 0.042

The formation energy from raw total energies comes out at -279.2 kJ per mole of atoms. Its total energy is -4.973 eV/atom. The theoretical density comes out at 4.298 Mg/m³. As for the spin magnetization: 0.01 μB/atom. For the density of states at the Fermi level, the calculation gives 0.00 states/eV/atom.

=====

# 12
Entry from the Alexandria database: LiIn2PbCl6 after structural relaxation (GGA-PBE).

a = 7.794 Å, b = 7.794 Å, c = 7.794 Å
α = 54.82°, β = 54.82°, γ = 54.82°
Fractional coordinates of all 10 atoms:
Li 0.000 0.000 0.000
In 0.311 0.311 0.311
In 0.792 0.792 0.792
Pb 0.508 0.508 0.508
Cl 0.146 0.329 0.728
Cl 0.218 0.909 0.612
Cl 0.329 0.728 0.146
Cl 0.612 0.218 0.909
Cl 0.728 0.146 0.329
Cl 0.909 0.612 0.218

The formation energy from raw total energies comes out at -104.9 kJ per mole of atoms. Its total energy is -3.305 eV/atom. The theoretical density comes out at 3.703 Mg/m³. As for the spin magnetization: 0.09 μB/atom. For the density of states at the Fermi level, the calculation gives 0.29 states/eV/atom.

=====

- spin magnetization of number 7 (CaHgWI2)?
  1.20 μB/atom

=====

Copy entry 12 word for word.
Entry from the Alexandria database: LiIn2PbCl6 after structural relaxation (GGA-PBE).

a = 7.794 Å, b = 7.794 Å, c = 7.794 Å
α = 54.82°, β = 54.82°, γ = 54.82°
Fractional coordinates of all 10 atoms:
Li 0.000 0.000 0.000
In 0.311 0.311 0.311
In 0.792 0.792 0.792
Pb 0.508 0.508 0.508
Cl 0.146 0.329 0.728
Cl 0.218 0.909 0.612
Cl 0.329 0.728 0.146
Cl 0.612 0.218 0.909
Cl 0.728 0.146 0.329
Cl 0.909 0.612 0.218

The formation energy from raw total energies comes out at -104.9 kJ per mole of atoms. Its total energy is -3.305 eV/atom. The theoretical density comes out at 3.703 Mg/m³. As for the spin magnetization: 0.09 μB/atom. For the density of states at the Fermi level, the calculation gives 0.29 states/eV/atom.